1.
Here is a relaxed structure of TbDy4Tm from Alexandria. Energies are from PBE-GGA.

Properties
The calculation puts the energy above the most stable polymorph in this dataset at 0.000 eV per atom.

a = 3.521 Å, b = 6.114 Å, c = 9.340 Å
α = 77.30°, β = 79.25°, γ = 73.41°
Space group P-1 (No. 2)
Asymmetric unit:
Tb  0.000  0.000  0.000
Dy  0.333  0.999  0.334
Dy  0.334  0.501  0.832
Tm  0.000  0.500  0.500

***

2.
Here is a relaxed structure of TbDy5Tm12 from Alexandria. Energies are from PBE-GGA.

a = 6.096 Å, b = 10.572 Å, c = 16.969 Å
α = 90.00°, β = 96.40°, γ = 90.00°
Space group C2/m (No. 12)
Asymmetric unit:
Tb  0.000  0.000  0.000
Dy  0.000  0.167  0.500
Dy  0.000  0.333  0.000
Dy  0.000  0.500  0.500
Tm  0.111  0.000  0.331
Tm  0.111  0.333  0.331
Tm  0.222  0.500  0.167
Tm  0.223  0.167  0.167

***

3.
Here is a relaxed structure of TbDy4Tm6 from Alexandria. Energies are from PBE-GGA.

Properties
The calculation puts the energy above the most stable polymorph in this dataset at 0.000 eV per atom.

a = 5.568 Å, b = 9.587 Å, c = 25.395 Å
α = 90.00°, β = 90.00°, γ = 90.00°
Space group Cmcm (No. 63)
Asymmetric unit:
Tb  0.000  0.170  0.250
Dy  0.000  0.165  0.542
Dy  0.000  0.495  0.622
Tm  0.000  0.163  0.682
Tm  0.000  0.170  0.104
Tm  0.000  0.497  0.750
Tm  0.000  0.500  0.000

***

4.
Here is a relaxed structure of Tb3Dy2Tm2 from Alexandria. Energies are from PBE-GGA.

Properties
The calculation puts the energy above the most stable polymorph in this dataset at 0.000 eV per atom.

a = 11.690 Å, b = 3.523 Å, c = 10.598 Å
α = 90.00°, β = 95.89°, γ = 90.00°
Space group C2/m (No. 12)
Asymmetric unit:
Tb  0.000  0.000  0.000
Tb  0.143  0.000  0.571
Dy  0.215  0.500  0.857
Tm  0.071  0.500  0.286

***

Number 1: total moment 0.0 μB per formula unit, energy of formation from the pure elements 11 kJ/mol of formula units. Number 2: total moment 0.0 μB per formula unit, energy of formation from the pure elements 20 kJ/mol of formula units. Number 3: total moment 0.0 μB per formula unit, energy of formation from the pure elements 133 kJ/mol of formula units. Number 4: total moment 0.0 μB per formula unit, energy of formation from the pure elements 12 kJ/mol of formula units.